Computed, not measured: KTaSi2 after structural relaxation at the GGA-PBE level of DFT.

Structure (POSCAR):
```
KTaSi2
1.0
3.6639 -3.7150 0.0000
3.6639 3.7150 0.0000
-0.0886 0.0000 2.7532
K Ta Si
1 1 2
Direct
0.0000 0.0000 0.0000
0.5000 0.5000 0.0000
0.0000 0.5000 0.5000
0.5000 0.0000 0.5000
```

Output
- crystal system = monoclinic
- density (g cm⁻³) = 6.120

***

Computed, not measured: KTa2Si2 after structural relaxation at the GGA-PBE level of DFT.

Structure (POSCAR):
```
KTa2Si2
1.0
-2.4320 2.4320 4.6749
2.4320 -2.4320 4.6749
2.4320 2.4320 -4.6749
K Ta Si
1 2 2
Direct
0.0000 0.0000 0.0000
0.3462 0.3462 0.0000
0.6538 0.6538 0.0000
0.2500 0.7500 0.5000
0.7500 0.2500 0.5000
```

Output
- crystal system = tetragonal
- density (g cm⁻³) = 6.864

***

Computed, not measured: KTaSi2 after structural relaxation at the GGA-PBE level of DFT.

Structure (POSCAR):
```
KTaSi2
1.0
0.0000 3.3348 3.3348
3.3348 0.0000 3.3348
3.3348 3.3348 0.0000
K Ta Si
1 1 2
Direct
0.0000 0.0000 0.0000
0.2500 0.2500 0.2500
0.5000 0.5000 0.5000
0.7500 0.7500 0.7500
```

Output
- crystal system = cubic
- density (g cm⁻³) = 6.184

***

Computed, not measured: KTaSi2 after structural relaxation at the GGA-PBE level of DFT.

Structure (POSCAR):
```
KTaSi2
1.0
3.2268 0.0000 0.0000
0.0000 3.2268 0.0000
0.0000 0.0000 8.4104
K Ta Si
1 1 2
Direct
0.0000 0.0000 0.0000
0.5000 0.5000 0.6057
0.0000 0.0000 0.4428
0.5000 0.5000 0.3004
```

Output
- crystal system = tetragonal
- density (g cm⁻³) = 5.238

***

| no. | ΔE to the lowest computed polymorph (eV per atom) | spin magnetization (μB/f.u.) | ΔE_f (raw) (kJ/mol of formula units) |
| --- | --- | --- | --- |
| 1 | 0.547 | 0.00 | 239 |
| 2 | 0.425 | 0.00 | 257 |
| 3 | 1.133 | 0.00 | 465 |
| 4 | 0.288 | 0.00 | 139 |